AcCeTe2Br | the Alexandria database | PBE | optimized geometry; energy relative to the elements, uncorrected = -1.4834 eV per atom; final energy = -5.08 eV per atom; magnetization = 1.2 μB per formula unit
1.0
4.661 0.000 0.000
0.000 4.661 0.000
0.000 0.000 15.560
Ac Ce Te Br
2 2 4 2
Cartesian
2.330 0.000 1.485
0.000 2.330 14.075
2.330 0.000 9.919
0.000 2.330 5.641
0.000 2.330 10.788
0.000 2.330 1.969
2.330 0.000 13.592
2.330 0.000 4.772
0.000 0.000 7.780
2.330 2.330 7.780